SrTaSbO5: optimized geometry, PBE-GGA.

Output
The value obtained for the calculated density is 6.016 Mg/m³. The energy relative to the elements, uncorrected comes out at -2384 meV per atom. The raw total energy is -7.690 eV per atom.

Unit cell a=6.1858 b=6.1858 c=8.1651 alpha=109.34 beta=109.34 gamma=102.10
Sites, in units of the cell vectors:
O1 0.3432 0.2469 0.1400
O2 0.0083 0.9917 0.2500
O3 0.6568 0.7531 0.8600
O4 0.2469 0.3432 0.6400
O5 0.8826 0.2845 0.0472
O6 0.7155 0.1174 0.4528
O7 0.9917 0.0083 0.7500
O8 0.2845 0.8826 0.5472
O9 0.7531 0.6568 0.3600
O10 0.1174 0.7155 0.9528
Sr1 0.6809 0.3191 0.7500
Sr2 0.3191 0.6809 0.2500
Ta1 0.0000 0.0000 0.5000
Ta2 0.0000 0.0000 0.0000
Sb1 0.2958 0.7042 0.7500
Sb2 0.7042 0.2958 0.2500